1.
# YTcOs

A relaxed structure of YTcOs (PBE-GGA, Alexandria).

Calculated values
Formation enthalpy at 0 K ... 0.0813 eV/atom
ΔE to the lowest computed polymorph ... 328.3 meV/atom

Unit cell a=3.045 b=3.045 c=12.114 alpha=90.00 beta=90.00 gamma=90.00
Space group I4mm (No. 107)
One atom of each set of equivalent atoms:
Y 0.000 0.000 0.000 x2
Tc 0.000 0.000 0.304 x2
Os 0.000 0.000 0.689 x2

=====

2.
# Pm2MgSiO6

A relaxed structure of Pm2MgSiO6 (PBE-GGA, Alexandria).

Calculated values
Uncorrected formation energy ... -3.0317 eV/atom

Unit cell a=5.229 b=5.229 c=4.286 alpha=90.00 beta=90.00 gamma=90.00
Space group P4mm (No. 99)
One atom of each set of equivalent atoms:
Pm 0.000 0.500 0.000 x2
Mg 0.000 0.000 0.563 x1
Si 0.500 0.500 0.552 x1
O 0.000 0.000 0.095 x1
O 0.270 0.270 0.641 x4
O 0.500 0.500 0.159 x1

=====

3.
# PmPrYAl

A relaxed structure of PmPrYAl (PBE-GGA, Alexandria).

Calculated values
Formation enthalpy at 0 K ... -0.0429 eV/atom
ΔE to the lowest computed polymorph ... 142.5 meV/atom

Unit cell a=7.745 b=7.745 c=7.745 alpha=90.00 beta=90.00 gamma=90.00
Space group F-43m (No. 216)
One atom of each set of equivalent atoms:
Pm 0.000 0.000 0.000 x4
Pr 0.000 0.000 0.500 x4
Y 0.250 0.250 0.250 x4
Al 0.250 0.250 0.750 x4

=====

4.
# Rb3SrCd2Cl9

A relaxed structure of Rb3SrCd2Cl9 (PBE-GGA, Alexandria).

Calculated values
Uncorrected formation energy ... -1.7063 eV/atom

Unit cell a=7.5929 b=7.5929 c=9.5738 alpha=90.00 beta=90.00 gamma=120.00
Space group P-3m1 (No. 164)
One atom of each set of equivalent atoms:
Rb 0.0000 0.0000 0.0000 x1
Rb 0.3333 0.6667 0.7060 x2
Sr 0.0000 0.0000 0.5000 x1
Cd 0.3333 0.6667 0.1621 x2
Cl 0.0000 0.5000 0.0000 x3
Cl 0.1697 0.3394 0.3167 x6

=====

5.
# NaSrMg2Ag

A relaxed structure of NaSrMg2Ag (PBE-GGA, Alexandria).

Calculated values
Formation enthalpy at 0 K ... 0.0231 eV/atom
ΔE to the lowest computed polymorph ... 0.0 meV/atom

Unit cell a=5.305 b=5.305 c=5.559 alpha=90.00 beta=90.00 gamma=90.00
Space group P4/mmm (No. 123)
One atom of each set of equivalent atoms:
Na 0.000 0.000 0.000 x1
Sr 0.500 0.500 0.000 x1
Mg 0.000 0.500 0.500 x2
Ag 0.000 0.000 0.500 x1

=====

6.
# Pr2DyS3

A relaxed structure of Pr2DyS3 (PBE-GGA, Alexandria).

Calculated values
Uncorrected formation energy ... -2.0142 eV/atom
ΔE to the lowest computed polymorph ... 0.0 meV/atom

Unit cell a=6.967 b=12.100 c=7.033 alpha=90.00 beta=109.34 gamma=90.00
Space group C2/m (No. 12)
One atom of each set of equivalent atoms:
Pr 0.000 0.000 0.000 x2
Pr 0.000 0.162 0.500 x4
Pr 0.000 0.500 0.500 x2
Dy 0.000 0.334 0.000 x4
S 0.234 0.500 0.234 x4
S 0.248 0.328 0.761 x8

=====

7.
# ZrTaCr2

A relaxed structure of ZrTaCr2 (PBE-GGA, Alexandria).

Calculated values
Formation enthalpy at 0 K ... 0.2377 eV/atom
ΔE to the lowest computed polymorph ... 96.8 meV/atom

Unit cell a=3.222 b=4.659 c=8.524 alpha=90.00 beta=90.00 gamma=90.00
Space group Cmm2 (No. 35)
One atom of each set of equivalent atoms:
Zr 0.000 0.000 0.000 x2
Ta 0.000 0.500 0.308 x2
Cr 0.000 0.000 0.547 x2
Cr 0.000 0.500 0.740 x2

=====

8.
# CaTl3Rh

A relaxed structure of CaTl3Rh (PBE-GGA, Alexandria).

Calculated values
Formation enthalpy at 0 K ... 1.1450 eV/atom
ΔE to the lowest computed polymorph ... 1309.0 meV/atom

Unit cell a=5.748 b=5.748 c=5.748 alpha=90.00 beta=90.00 gamma=90.00
Space group Pm-3m (No. 221)
One atom of each set of equivalent atoms:
Ca 0.000 0.000 0.000 x1
Tl 0.000 0.000 0.500 x3
Rh 0.500 0.500 0.500 x1

=====

9.
# Pu2GeAu3

A relaxed structure of Pu2GeAu3 (PBE-GGA, Alexandria).

Calculated values
Formation enthalpy at 0 K ... -0.4745 eV/atom

Unit cell a=3.205 b=4.781 c=8.339 alpha=90.00 beta=90.00 gamma=90.00
Space group Pmm2 (No. 25)
One atom of each set of equivalent atoms:
Pu 0.000 0.000 0.000 x1
Pu 0.000 0.500 0.497 x1
Ge 0.500 0.500 0.827 x1
Au 0.500 0.000 0.334 x1
Au 0.500 0.000 0.672 x1
Au 0.500 0.500 0.155 x1

=====

10.
# Cs2InBI6

A relaxed structure of Cs2InBI6 (PBE-GGA, Alexandria).

Calculated values
Uncorrected formation energy ... -0.4890 eV/atom

Unit cell a=8.205 b=8.205 c=11.770 alpha=90.00 beta=90.00 gamma=90.00
Space group I4/mmm (No. 139)
One atom of each set of equivalent atoms:
Cs 0.000 0.500 0.250 x4
In 0.000 0.000 0.000 x2
B 0.000 0.000 0.500 x2
I 0.000 0.000 0.259 x4
I 0.239 0.239 0.500 x8

=====

11.
# Pr8Nd3Er

A relaxed structure of Pr8Nd3Er (PBE-GGA, Alexandria).

Calculated values
Formation enthalpy at 0 K ... 0.5341 eV/atom

Unit cell a=8.918 b=8.918 c=11.738 alpha=90.00 beta=90.00 gamma=90.00
Space group I-42m (No. 121)
One atom of each set of equivalent atoms:
Pr 0.124 0.124 0.252 x8
Pr 0.247 0.247 0.507 x8
Nd 0.000 0.000 0.000 x2
Nd 0.000 0.500 0.250 x4
Er 0.000 0.000 0.500 x2

=====

12.
# LaInSi2

A relaxed structure of LaInSi2 (PBE-GGA, Alexandria).

Calculated values
Uncorrected formation energy ... -0.1181 eV/atom

Unit cell a=4.475 b=4.475 c=9.125 alpha=90.00 beta=90.00 gamma=90.00
Space group I4/mmm (No. 139)
One atom of each set of equivalent atoms:
La 0.000 0.000 0.000 x2
In 0.000 0.000 0.500 x2
Si 0.000 0.500 0.250 x4